[1]
# Sc5Be

A crystal of Sc5Be relaxed with PBEsol (SCAN, the Alexandria database).

Lattice parameters (Å, degrees): 5.469 5.469 4.807 90.00 90.00 120.00
Atoms (fractional coordinates):
Sc (0.000, 0.693, 0.000)
Sc (0.307, 0.307, 0.000)
Sc (0.333, 0.667, 0.500)
Sc (0.667, 0.333, 0.500)
Sc (0.693, 0.000, 0.000)
Be (0.000, 0.000, 0.500)

Computed properties:
- Space-group type: P-62m (189)
- Relative energy among the computed polymorphs: 0.125 eV per atom
- Volume: 20.755 Å³/atom


[2]
# ZrScCd2

A crystal of ZrScCd2 relaxed with PBEsol (SCAN, the Alexandria database).

Lattice parameters (Å, degrees): 3.113 4.248 6.252 90.00 90.00 90.00
Atoms (fractional coordinates):
Zr (0.000, 0.000, 0.000)
Sc (0.000, 0.000, 0.500)
Cd (0.500, 0.500, 0.251)
Cd (0.500, 0.500, 0.749)

Computed properties:
- Space-group type: Pmmm (47)
- Relative energy among the computed polymorphs: 0.017 eV per atom
- Volume: 20.667 Å³/atom


[3]
# ScBe

A crystal of ScBe relaxed with PBEsol (SCAN, the Alexandria database).

Lattice parameters (Å, degrees): 5.299 5.299 5.299 146.34 131.33 60.48
Atoms (fractional coordinates):
Sc (0.356, 0.106, 0.250)
Sc (0.644, 0.894, 0.750)
Be (0.082, 0.332, 0.750)
Be (0.918, 0.668, 0.250)

Computed properties:
- Space-group type: Imma (74)
- Total DFT energy (no corrections): -37.04 eV for the cell shown
- Volume: 15.340 Å³/atom


[4]
# CsGaIr3

A crystal of CsGaIr3 relaxed with PBEsol (SCAN, the Alexandria database).

Lattice parameters (Å, degrees): 4.703 4.703 4.703 90.00 90.00 90.00
Atoms (fractional coordinates):
Cs (0.000, 0.000, 0.000)
Ga (0.500, 0.500, 0.500)
Ir (0.000, 0.500, 0.500)
Ir (0.500, 0.000, 0.500)
Ir (0.500, 0.500, 0.000)

Computed properties:
- Space-group type: Pm-3m (221)
- Total DFT energy (no corrections): -260.07 eV for the cell shown
- Volume: 20.807 Å³/atom


[5]
# SrCa2Mg

A crystal of SrCa2Mg relaxed with PBEsol (SCAN, the Alexandria database).

Lattice parameters (Å, degrees): 6.957 6.957 6.957 144.01 128.80 64.17
Atoms (fractional coordinates):
Sr (0.000, 0.000, 0.000)
Ca (0.275, 0.775, 0.500)
Ca (0.543, 0.543, 0.000)
Mg (0.762, 0.262, 0.500)

Computed properties:
- Space-group type: Imm2 (44)
- Total DFT energy (no corrections): -46.47 eV for the cell shown
- Volume: 38.080 Å³/atom


[6]
# InOsBr

A crystal of InOsBr relaxed with PBEsol (SCAN, the Alexandria database).

Lattice parameters (Å, degrees): 4.463 4.463 4.463 60.00 60.00 60.00
Atoms (fractional coordinates):
In (0.000, 0.000, 0.000)
Os (0.750, 0.750, 0.750)
Br (0.500, 0.500, 0.500)

Computed properties:
- Space-group type: F-43m (216)
- Total DFT energy (no corrections): -121.57 eV for the cell shown
- Volume: 20.954 Å³/atom


[7]
# BaMn

A crystal of BaMn relaxed with PBEsol (SCAN, the Alexandria database).

Lattice parameters (Å, degrees): 7.785 7.785 7.785 148.90 62.27 127.52
Atoms (fractional coordinates):
Ba (0.000, 0.000, 0.000)
Ba (0.055, 0.768, 0.287)
Ba (0.481, 0.768, 0.713)
Mn (0.517, 0.517, 0.000)
Mn (0.595, 0.185, 0.410)
Mn (0.775, 0.185, 0.590)

Computed properties:
- Space-group type: Imm2 (44)
- Total DFT energy (no corrections): -171.38 eV for the cell shown
- Volume: 31.910 Å³/atom


[8]
# LaZn2Co

A crystal of LaZn2Co relaxed with PBEsol (SCAN, the Alexandria database).

Lattice parameters (Å, degrees): 5.428 5.428 5.428 45.83 45.83 45.83
Atoms (fractional coordinates):
La (0.000, 0.000, 0.000)
Zn (0.515, 0.515, 0.515)
Zn (0.800, 0.800, 0.800)
Co (0.186, 0.186, 0.186)

Computed properties:
- Space-group type: R3m (160)
- Total DFT energy (no corrections): -88.14 eV for the cell shown
- Volume: 18.761 Å³/atom


[9]
# Li17Ag12

A crystal of Li17Ag12 relaxed with PBEsol (SCAN, the Alexandria database).

Lattice parameters (Å, degrees): 8.580 8.580 8.580 109.47 109.47 109.47
Atoms (fractional coordinates):
Li (0.000, 0.000, 0.000)
Li (0.000, 0.000, 0.347)
Li (0.000, 0.309, 0.580)
Li (0.000, 0.347, 0.000)
Li (0.000, 0.580, 0.309)
Li (0.270, 0.691, 0.691)
Li (0.309, 0.000, 0.580)
Li (0.309, 0.580, 0.000)
Li (0.347, 0.000, 0.000)
Li (0.420, 0.420, 0.730)
Li (0.420, 0.730, 0.420)
Li (0.580, 0.000, 0.309)
Li (0.580, 0.309, 0.000)
Li (0.653, 0.653, 0.653)
Li (0.691, 0.270, 0.691)
Li (0.691, 0.691, 0.270)
Li (0.730, 0.420, 0.420)
Ag (0.000, 0.612, 0.805)
Ag (0.000, 0.805, 0.612)
Ag (0.193, 0.388, 0.388)
Ag (0.195, 0.195, 0.807)
Ag (0.195, 0.807, 0.195)
Ag (0.388, 0.193, 0.388)
Ag (0.388, 0.388, 0.193)
Ag (0.612, 0.000, 0.805)
Ag (0.612, 0.805, 0.000)
Ag (0.805, 0.000, 0.612)
Ag (0.805, 0.612, 0.000)
Ag (0.807, 0.195, 0.195)

Computed properties:
- Space-group type: I-43m (217)
- Total DFT energy (no corrections): -421.41 eV for the cell shown
- Volume: 16.767 Å³/atom


[10]
# Mg4VN4

A crystal of Mg4VN4 relaxed with PBEsol (SCAN, the Alexandria database).

Lattice parameters (Å, degrees): 5.353 5.356 8.152 71.69 84.48 69.43
Atoms (fractional coordinates):
Mg (0.229, 0.330, 0.298)
Mg (0.245, 0.548, 0.919)
Mg (0.249, 0.960, 0.095)
Mg (0.255, 0.743, 0.502)
Mg (0.745, 0.257, 0.498)
Mg (0.751, 0.040, 0.905)
Mg (0.755, 0.452, 0.081)
Mg (0.771, 0.670, 0.702)
V (0.228, 0.108, 0.735)
V (0.772, 0.892, 0.265)
N (0.010, 0.303, 0.879)
N (0.014, 0.918, 0.696)
N (0.334, 0.312, 0.540)
N (0.491, 0.817, 0.881)
N (0.509, 0.183, 0.119)
N (0.666, 0.688, 0.460)
N (0.986, 0.082, 0.304)
N (0.990, 0.697, 0.121)

Computed properties:
- Space-group type: P-1 (2)
- Total DFT energy (no corrections): -167.63 eV for the cell shown
- Volume: 11.539 Å³/atom


[11]
# BaLaAl2

A crystal of BaLaAl2 relaxed with PBEsol (SCAN, the Alexandria database).

Lattice parameters (Å, degrees): 5.358 5.358 5.358 60.00 60.00 60.00
Atoms (fractional coordinates):
Ba (0.000, 0.000, 0.000)
La (0.750, 0.750, 0.750)
Al (0.250, 0.250, 0.250)
Al (0.500, 0.500, 0.500)

Computed properties:
- Space-group type: F-43m (216)
- Relative energy among the computed polymorphs: 0.383 eV per atom
- Volume: 27.198 Å³/atom


[12]
# NbZnMoAs2

A crystal of NbZnMoAs2 relaxed with PBEsol (SCAN, the Alexandria database).

Lattice parameters (Å, degrees): 4.886 4.886 4.904 90.00 90.00 90.00
Atoms (fractional coordinates):
Nb (0.000, 0.000, 0.000)
Zn (0.500, 0.500, 0.500)
Mo (0.000, 0.000, 0.500)
As (0.000, 0.500, 0.000)
As (0.500, 0.000, 0.000)

Computed properties:
- Space-group type: P4/mmm (123)
- Total DFT energy (no corrections): -116.55 eV for the cell shown
- Volume: 23.411 Å³/atom


[13]
# Be2CdTeO

A crystal of Be2CdTeO relaxed with PBEsol (SCAN, the Alexandria database).

Lattice parameters (Å, degrees): 3.840 3.840 5.457 90.00 90.00 90.00
Atoms (fractional coordinates):
Be (0.000, 0.500, 0.000)
Be (0.500, 0.000, 0.000)
Cd (0.000, 0.000, 0.500)
Te (0.500, 0.500, 0.500)
O (0.000, 0.000, 0.000)

Computed properties:
- Space-group type: P4/mmm (123)
- Total DFT energy (no corrections): -82.87 eV for the cell shown
- Volume: 16.093 Å³/atom


[14]
# Li2ZrCo

A crystal of Li2ZrCo relaxed with PBEsol (SCAN, the Alexandria database).

Lattice parameters (Å, degrees): 3.109 3.109 6.953 90.00 90.00 90.00
Atoms (fractional coordinates):
Li (0.000, 0.000, 0.000)
Li (0.500, 0.500, 0.249)
Zr (0.000, 0.000, 0.597)
Co (0.500, 0.500, 0.778)

Computed properties:
- Space-group type: P4mm (99)
- Relative energy among the computed polymorphs: 0.000 eV per atom
- Volume: 16.801 Å³/atom


[15]
# RbCu2PtS

A crystal of RbCu2PtS relaxed with PBEsol (SCAN, the Alexandria database).

Lattice parameters (Å, degrees): 4.857 4.857 5.019 90.00 90.00 90.00
Atoms (fractional coordinates):
Rb (0.000, 0.000, 0.000)
Cu (0.000, 0.500, 0.000)
Cu (0.500, 0.000, 0.000)
Pt (0.000, 0.000, 0.500)
S (0.500, 0.500, 0.500)

Computed properties:
- Space-group type: P4/mmm (123)
- Total DFT energy (no corrections): -119.89 eV for the cell shown
- Volume: 23.680 Å³/atom


[16]
# Na2TePd

A crystal of Na2TePd relaxed with PBEsol (SCAN, the Alexandria database).

Lattice parameters (Å, degrees): 10.690 10.690 10.690 157.56 157.56 31.95
Atoms (fractional coordinates):
Na (0.113, 0.625, 0.988)
Na (0.375, 0.363, 0.488)
Na (0.637, 0.125, 0.012)
Na (0.875, 0.887, 0.512)
Te (0.250, 0.750, 0.500)
Te (0.500, 0.500, 0.000)
Pd (0.000, 0.000, 0.000)
Pd (0.750, 0.250, 0.500)

Computed properties:
- Space-group type: I-42d (122)
- Total DFT energy (no corrections): -159.05 eV for the cell shown
- Volume: 22.238 Å³/atom


[17]
# Sr2BeBr

A crystal of Sr2BeBr relaxed with PBEsol (SCAN, the Alexandria database).

Lattice parameters (Å, degrees): 5.489 5.489 5.489 60.00 60.00 60.00
Atoms (fractional coordinates):
Sr (0.250, 0.250, 0.250)
Sr (0.750, 0.750, 0.750)
Be (0.000, 0.000, 0.000)
Br (0.500, 0.500, 0.500)

Computed properties:
- Space-group type: Fm-3m (225)
- Relative energy among the computed polymorphs: 0.282 eV per atom
- Volume: 29.243 Å³/atom


[18]
# RbCdH2Au

A crystal of RbCdH2Au relaxed with PBEsol (SCAN, the Alexandria database).

Lattice parameters (Å, degrees): 4.339 4.339 5.350 90.00 90.00 90.00
Atoms (fractional coordinates):
Rb (0.000, 0.000, 0.000)
Cd (0.500, 0.500, 0.500)
H (0.000, 0.500, 0.500)
H (0.500, 0.000, 0.500)
Au (0.500, 0.500, 0.000)

Computed properties:
- Space-group type: P4/mmm (123)
- Total DFT energy (no corrections): -126.70 eV for the cell shown
- Volume: 20.145 Å³/atom


[19]
# FePAuCl2

A crystal of FePAuCl2 relaxed with PBEsol (SCAN, the Alexandria database).

Lattice parameters (Å, degrees): 4.853 4.853 4.845 90.00 90.00 90.00
Atoms (fractional coordinates):
Fe (0.000, 0.000, 0.000)
P (0.500, 0.500, 0.000)
Au (0.500, 0.500, 0.500)
Cl (0.000, 0.500, 0.500)
Cl (0.500, 0.000, 0.500)

Computed properties:
- Space-group type: P4/mmm (123)
- Total DFT energy (no corrections): -110.09 eV for the cell shown
- Volume: 22.822 Å³/atom


[20]
# Si2RhBr

A crystal of Si2RhBr relaxed with PBEsol (SCAN, the Alexandria database).

Lattice parameters (Å, degrees): 4.711 4.711 2.868 90.00 90.00 90.67
Atoms (fractional coordinates):
Si (0.000, 0.500, 0.000)
Si (0.500, 0.000, 0.000)
Rh (0.000, 0.000, 0.500)
Br (0.500, 0.500, 0.500)

Computed properties:
- Space-group type: Cmmm (65)
- Relative energy among the computed polymorphs: 0.552 eV per atom
- Volume: 15.911 Å³/atom